Below is an optimized crystal structure of SrNiO2F, with properties calculated at the PBE+U level.

Lattice parameters (Å, degrees): 3.8803 3.8803 4.0681 90.00 90.00 90.00
With the nearest neighbours (Å) after each atom.
Fractional coordinates of all 5 atoms:
O (0.0000, 0.5000, 0.0000)  2 Ni 1.94
O (0.5000, 0.0000, 0.0000)  2 Ni 1.94
Ni (0.0000, 0.0000, 0.0000)  4 O 1.94, 2 F 2.03
Sr (0.5000, 0.5000, 0.5000)  4 F 2.74, 8 O 2.81
F (0.0000, 0.0000, 0.5000)  2 Ni 2.03

## Properties
Total energy   -26.030 eV/cell